# 1
Compound: MnTlF3
Source: Alexandria via LeMat-Bulk
Functional: SCAN
Structure: PBEsol geometry

Lattice parameters (Å, degrees): 4.2155 4.2155 4.2155 90.00 90.00 90.00
Closest atoms and distances in Å follow each position.
Positions (direct):
Mn  0.0000  0.0000  0.0000  6 F 2.11
Tl  0.5000  0.5000  0.5000  12 F 2.98
F  0.0000  0.0000  0.5000  2 Mn 2.11
F  0.0000  0.5000  0.0000  2 Mn 2.11
F  0.5000  0.0000  0.0000  2 Mn 2.11

Results
**VASP energy**: -22.75 eV/atom
**Calculated volume**: 15.0 Å³ per atom
**Formation energy from raw total energies**: -2507 meV/atom


# 2
Compound: MgAg2
Source: Alexandria via LeMat-Bulk
Functional: SCAN
Structure: PBEsol geometry

Lattice parameters (Å, degrees): 12.8730 12.8730 12.8730 161.85 161.85 25.77
Closest atoms and distances in Å follow each position.
Positions (direct):
Mg  0.2953  0.5453  0.7500  10 Ag 2.84-2.97, 2 Mg 3.05
Mg  0.4547  0.7047  0.7500  10 Ag 2.84-2.97, 2 Mg 3.05
Mg  0.5453  0.2953  0.2500  10 Ag 2.84-2.97, 2 Mg 3.05
Mg  0.7047  0.4547  0.2500  10 Ag 2.84-2.97, 2 Mg 3.05
Ag  0.0409  0.7909  0.2500  6 Mg 2.87-2.97, 6 Ag 2.89-2.94
Ag  0.1255  0.3755  0.7500  4 Mg 2.84-2.86, 8 Ag 2.87-2.94
Ag  0.2091  0.9591  0.2500  6 Mg 2.87-2.97, 6 Ag 2.89-2.94
Ag  0.3755  0.1255  0.2500  4 Mg 2.84-2.86, 8 Ag 2.87-2.94
Ag  0.6245  0.8745  0.7500  4 Mg 2.84-2.86, 8 Ag 2.87-2.94
Ag  0.7909  0.0409  0.7500  6 Mg 2.87-2.97, 6 Ag 2.89-2.94
Ag  0.8745  0.6245  0.2500  4 Mg 2.84-2.86, 8 Ag 2.87-2.94
Ag  0.9591  0.2091  0.7500  6 Mg 2.87-2.97, 6 Ag 2.89-2.94

Results
**Formation enthalpy at 0 K**: -0.1798 eV/atom
**VASP energy**: -22.75 eV/atom
**Calculated volume**: 17.2 Å³ per atom


# 3
Compound: Ni2OsCl
Source: Alexandria via LeMat-Bulk
Functional: SCAN
Structure: PBEsol geometry

Lattice parameters (Å, degrees): 2.6837 3.8327 11.4679 90.00 90.00 90.00
Closest atoms and distances in Å follow each position.
Positions (direct):
Ni  0.0000  0.0000  0.0000  2 Ni 2.36, 2 Os 2.50
Ni  0.0000  0.5000  0.1206  2 Ni 2.36, 4 Os 2.45
Ni  0.5000  0.0000  0.6206  2 Ni 2.36, 4 Os 2.45
Ni  0.5000  0.5000  0.5000  2 Ni 2.36, 2 Os 2.50
Os  0.0000  0.5000  0.6839  6 Ni 2.45-2.50, 2 Cl 2.45, 2 Os 2.68
Os  0.5000  0.0000  0.1839  6 Ni 2.45-2.50, 2 Cl 2.45, 2 Os 2.68
Cl  0.0000  0.0000  0.3628  2 Os 2.45, 2 Cl 2.68
Cl  0.5000  0.5000  0.8628  2 Os 2.45, 2 Cl 2.68

Results
**VASP energy**: -27.46 eV/atom
**Calculated volume**: 14.7 Å³ per atom
**Formation energy from raw total energies**: 588 meV/atom


# 4
Compound: CdPPt2
Source: Alexandria via LeMat-Bulk
Functional: SCAN
Structure: PBEsol geometry

Lattice parameters (Å, degrees): 3.3025 3.3025 6.0073 90.00 90.00 90.00
Closest atoms and distances in Å follow each position.
Positions (direct):
Cd  0.0000  0.0000  0.0000  5 Pt 2.79-2.83
P  0.5000  0.5000  0.3487  5 Pt 2.38-2.45
Pt  0.0000  0.0000  0.4706  4 P 2.45
Pt  0.5000  0.5000  0.7449  1 P 2.38

Results
**Formation enthalpy at 0 K**: -0.2111 eV/atom
**VASP energy**: -45.51 eV/atom
**Calculated volume**: 16.4 Å³ per atom


# 5
Compound: Li3Sb11S18
Source: Alexandria via LeMat-Bulk
Functional: SCAN
Structure: PBEsol geometry

Lattice parameters (Å, degrees): 6.7216 7.7502 15.0506 75.10 79.22 73.15
Closest atoms and distances in Å follow each position.
Positions (direct):
Li  0.0000  0.0000  0.0000  3 S 2.44-2.63
Li  0.0154  0.5233  0.9902  3 S 2.41-2.58
Li  0.9023  0.8849  0.2995  4 S 2.46-2.74
Sb  0.1272  0.6408  0.6759  3 S 2.50-2.62
Sb  0.1351  0.1392  0.6782  5 S 2.52-2.82
Sb  0.2951  0.4785  0.4160  4 S 2.52-2.81
Sb  0.2994  0.9800  0.4122  3 S 2.52-2.60
Sb  0.4937  0.6995  0.8756  4 S 2.45-2.75
Sb  0.4977  0.1987  0.8719  5 S 2.49-2.77
Sb  0.5113  0.3178  0.1100  4 S 2.51-2.77
Sb  0.5191  0.8340  0.1135  4 S 2.51-2.80
Sb  0.7069  0.0550  0.5538  6 S 2.64-2.91
Sb  0.7157  0.5596  0.5490  5 S 2.64-2.78
Sb  0.8977  0.3902  0.2959  3 S 2.51-2.56
S  0.0007  0.2688  0.4897  6 Sb 2.73-2.97
S  0.1575  0.5867  0.2608  2 Sb 2.52-2.54, 1 Li 2.58
S  0.1576  0.0957  0.2585  2 Sb 2.52-2.56, 1 Li 2.59
S  0.2122  0.0397  0.8442  1 Li 2.50, 3 Sb 2.52-2.75
S  0.2180  0.5330  0.8384  1 Li 2.43, 2 Sb 2.50-2.71
S  0.2757  0.6769  0.0263  1 Sb 2.45, 2 Li 2.58-2.63
S  0.2838  0.1779  0.0266  2 Sb 2.49-2.73, 1 Li 2.74
S  0.4382  0.3376  0.6146  4 Sb 2.65-2.88
S  0.4395  0.8476  0.6133  4 Sb 2.64-2.88
S  0.5641  0.6911  0.3630  2 Sb 2.60-2.67
S  0.5686  0.1770  0.3709  2 Sb 2.58-2.68
S  0.7175  0.8523  0.9542  3 Sb 2.51-2.76, 2 Li 2.75
S  0.7195  0.3549  0.9527  3 Sb 2.51-2.77
S  0.7724  0.9933  0.1472  2 Li 2.44-2.46, 2 Sb 2.56-2.61
S  0.7914  0.4961  0.1354  1 Li 2.41, 1 Sb 2.51
S  0.8511  0.4446  0.7134  3 Sb 2.62-2.68
S  0.8543  0.9343  0.7173  3 Sb 2.61-2.70
S  0.9828  0.7687  0.4805  4 Sb 2.66-2.93, 1 Li 2.74

Results
**VASP energy**: -18.89 eV/atom
**Calculated volume**: 22.5 Å³ per atom
**Formation energy from raw total energies**: -439 meV/atom


# 6
Compound: Ti6Ge5
Source: Alexandria via LeMat-Bulk
Functional: SCAN
Structure: PBEsol geometry

Lattice parameters (Å, degrees): 9.6156 9.6156 9.6156 131.68 58.61 148.85
Closest atoms and distances in Å follow each position.
Positions (direct):
Ti  0.0586  0.2500  0.8086  6 Ge 2.56-2.71, 2 Ti 2.58
Ti  0.0633  0.2423  0.3056  5 Ge 2.47-2.68
Ti  0.1415  0.6127  0.7542  5 Ge 2.60-2.87
Ti  0.3585  0.1127  0.4712  5 Ge 2.60-2.87
Ti  0.4367  0.7423  0.1790  5 Ge 2.47-2.68
Ti  0.4414  0.2500  0.1914  6 Ge 2.56-2.71, 2 Ti 2.58
Ti  0.5586  0.7500  0.8086  6 Ge 2.56-2.71, 2 Ti 2.58
Ti  0.5633  0.2577  0.8210  5 Ge 2.47-2.68
Ti  0.6415  0.8873  0.5288  5 Ge 2.60-2.87
Ti  0.8585  0.3873  0.2458  5 Ge 2.60-2.87
Ti  0.9367  0.7577  0.6944  5 Ge 2.47-2.68
Ti  0.9414  0.7500  0.1914  6 Ge 2.56-2.71, 2 Ti 2.58
Ge  0.0677  0.9025  0.9702  5 Ti 2.47-2.68, 1 Ge 2.74
Ge  0.2112  0.2991  0.5103  6 Ti 2.52-2.73
Ge  0.2500  0.7500  0.5000  2 Ge 2.58, 8 Ti 2.63-2.84
Ge  0.2888  0.7991  0.0878  6 Ti 2.52-2.73
Ge  0.4323  0.4025  0.8349  5 Ti 2.47-2.68, 1 Ge 2.74
Ge  0.5677  0.5975  0.1651  5 Ti 2.47-2.68, 1 Ge 2.74
Ge  0.7112  0.2009  0.9122  6 Ti 2.52-2.73
Ge  0.7500  0.2500  0.5000  2 Ge 2.58, 8 Ti 2.63-2.84
Ge  0.7888  0.7009  0.4897  6 Ti 2.52-2.73
Ge  0.9323  0.0975  0.0298  5 Ti 2.47-2.68, 1 Ge 2.74

Results
**Formation enthalpy at 0 K**: -0.7499 eV/atom
**VASP energy**: -18.17 eV/atom
**Calculated volume**: 15.5 Å³ per atom


# 7
Compound: InFeSb2
Source: Alexandria via LeMat-Bulk
Functional: SCAN
Structure: PBEsol geometry

Lattice parameters (Å, degrees): 3.1635 3.1635 8.4042 90.00 90.00 90.00
Closest atoms and distances in Å follow each position.
Positions (direct):
In  0.0000  0.0000  0.0000  4 In 3.16, 8 Sb 3.47
Fe  0.0000  0.0000  0.5000  8 Sb 2.72
Sb  0.5000  0.5000  0.3157  4 Fe 2.72
Sb  0.5000  0.5000  0.6843  4 Fe 2.72

Results
**VASP energy**: -31.30 eV/atom
**Calculated volume**: 21.0 Å³ per atom
**Formation energy from raw total energies**: 212 meV/atom


# 8
Compound: PPdO2F
Source: Alexandria via LeMat-Bulk
Functional: SCAN
Structure: PBEsol geometry

Lattice parameters (Å, degrees): 3.9342 3.9342 3.9454 90.00 90.00 90.00
Closest atoms and distances in Å follow each position.
Positions (direct):
P  0.0000  0.0000  0.0000  4 F 2.78, 8 O 2.79
Pd  0.5000  0.5000  0.5000  4 O 1.97, 2 F 1.97
O  0.0000  0.5000  0.5000  2 Pd 1.97
O  0.5000  0.0000  0.5000  2 Pd 1.97
F  0.5000  0.5000  0.0000  2 Pd 1.97

Results
**VASP energy**: -11.69 eV/atom
**Calculated volume**: 12.2 Å³ per atom
**Formation energy from raw total energies**: 144 meV/atom


The lowest VASP energy belongs to which entry? CdPPt2